Record 1
A plane-wave DFT calculation with PBE was carried out for CrSiBr after structural relaxation.

Cell: 4.365 4.365 4.365 Å, 60.00 60.00 60.00°
Site moments in Bohr magnetons follow the coordinates.
Element x y z (fractional)
Br 0.500 0.500 0.500  -0.01
Cr 0.750 0.750 0.750  2.81
Si 0.000 0.000 0.000  -0.13

Space-group type: F-43m, No. 216
Size of the total moment: 2.80 μB/f.u.

---

Record 2
A plane-wave DFT calculation with PBE was carried out for CrSi2Br after structural relaxation.

Cell: 5.589 5.589 5.589 Å, 148.81 126.29 63.43°
Site moments in Bohr magnetons follow the coordinates.
Element x y z (fractional)
Br 0.477 0.477 0.000  0.02
Cr 0.234 0.734 0.500  3.36
Si 0.005 0.005 0.000  -0.04
Si 0.784 0.284 0.500  -0.06

Space-group type: Imm2, No. 44
Size of the total moment: 3.50 μB/f.u.

---

| no. | E_tot (Ha/atom) |
| --- | --- |
| 1 | -0.183 |
| 2 | -0.182 |